Below is a relaxed structure of DyAl2, with properties calculated at the PBE-GGA level.

Geometry as POSCAR:
```
DyAl2
1.0
0.000 3.932 3.932
3.932 0.000 3.932
3.932 3.932 0.000
Al Dy
4 2
Cartesian
2.949 2.949 4.915
2.949 4.915 2.949
4.915 4.915 4.915
4.915 2.949 2.949
0.000 0.000 0.000
1.966 1.966 1.966
```

Crystal system: cubic
Total energy: -4.551 eV per atom



Below is a relaxed structure of HoGa6Ni6, with properties calculated at the PBE-GGA level.

Geometry as POSCAR:
```
HoGa6Ni6
1.0
-2.506 4.123 4.336
2.506 -4.123 4.336
2.506 4.123 -4.336
Ni Ga Ho
6 6 1
Cartesian
1.253 2.061 -2.168
2.506 1.959 0.000
0.000 2.164 4.336
1.253 2.061 2.168
-1.253 2.061 2.168
1.253 -2.061 2.168
0.000 0.000 5.681
0.000 2.824 0.000
2.506 0.000 1.604
0.000 0.000 2.990
0.000 5.421 0.000
0.000 4.123 2.732
0.000 0.000 0.000
```

Crystal system: orthorhombic
Total energy: -4.811 eV per atom



Below is a relaxed structure of PrBeNO, with properties calculated at the PBE-GGA level.

Geometry as POSCAR:
```
PrBeNO
1.0
5.434 0.000 0.000
0.000 6.736 0.000
0.000 0.000 5.021
N Pr O Be
4 4 4 4
Cartesian
1.881 0.043 0.977
0.836 0.043 3.487
4.598 6.694 0.977
3.554 6.694 3.487
2.539 4.816 2.472
0.178 4.816 4.982
5.256 1.920 2.472
2.895 1.920 4.982
5.245 4.416 2.523
2.906 4.416 0.013
0.189 2.321 0.013
2.528 2.321 2.523
4.958 6.127 2.575
3.194 6.127 0.065
0.476 0.609 0.065
2.241 0.609 2.575
```

Crystal system: orthorhombic
Total energy: -7.293 eV per atom



Below is a relaxed structure of Nb, with properties calculated at the PBE-GGA level.

Geometry as POSCAR:
```
Nb
1.0
5.311 0.000 0.000
0.000 5.311 0.000
0.000 0.000 5.311
Nb
8
Cartesian
2.655 3.983 0.000
1.328 0.000 2.655
2.655 1.328 0.000
3.983 0.000 2.655
0.000 2.655 3.983
0.000 2.655 1.328
2.655 2.655 2.655
0.000 0.000 0.000
```

Crystal system: cubic
Total energy: -9.989 eV per atom
E_form: 0.11 eV per atom